(1)
This record from OQMD describes a relaxed structure of HfBeNiGe. The functional is PBE-GGA. Values from VASP.

Values from the calculation:
Space group: F-43m
Relative energy among the computed polymorphs in meV/atom: 59.9
Spin magnetization in μB/cell: 0.0

```
&SYSTEM
  ibrav = 0, nat = 16, ntyp = 4
/
ATOMIC_SPECIES
Hf 178.49 Hf.upf
Be 9.01 Be.upf
Ni 58.69 Ni.upf
Ge 72.64 Ge.upf
ATOMIC_POSITIONS angstrom
Hf 0.000 0.000 0.000
Hf 0.000 3.046 3.046
Hf 3.046 0.000 3.046
Hf 3.046 3.046 0.000
Be 1.523 1.523 4.569
Be 1.523 4.569 1.523
Be 4.569 1.523 1.523
Be 4.569 4.569 4.569
Ni 0.000 0.000 3.046
Ni 0.000 3.046 0.000
Ni 3.046 0.000 0.000
Ni 3.046 3.046 3.046
Ge 1.523 1.523 1.523
Ge 1.523 4.569 4.569
Ge 4.569 1.523 4.569
Ge 4.569 4.569 1.523
CELL_PARAMETERS angstrom
6.092 0.000 0.000
0.000 6.092 0.000
0.000 0.000 6.092
```

=====

(2)
This record from OQMD describes a relaxed structure of OsI. The functional is PBE-GGA. Values from VASP.

Values from the calculation:
Space group: P6_3/mmc
Relative energy among the computed polymorphs in meV/atom: 250.4
Spin magnetization in μB/cell: 0.0

```
&SYSTEM
  ibrav = 0, nat = 4, ntyp = 2
/
ATOMIC_SPECIES
Os 190.23 Os.upf
I 126.90 I.upf
ATOMIC_POSITIONS angstrom
Os 0.000 1.912 2.075
Os 1.656 0.956 6.224
I 0.000 0.000 0.000
I 0.000 0.000 4.149
CELL_PARAMETERS angstrom
3.312 0.000 0.000
-1.656 2.868 0.000
0.000 0.000 8.299
```

=====

(3)
This record from OQMD describes a relaxed structure of NaSrNdS3. The functional is PBE-GGA. Values from VASP.

Values from the calculation:
Space group: Pnma
Relative energy among the computed polymorphs in meV/atom: 141.0
Spin magnetization in μB/cell: 0.0

```
&SYSTEM
  ibrav = 0, nat = 24, ntyp = 4
/
ATOMIC_SPECIES
Na 22.99 Na.upf
Sr 87.62 Sr.upf
Nd 144.24 Nd.upf
S 32.06 S.upf
ATOMIC_POSITIONS angstrom
Na 2.491 1.054 3.149
Na 2.931 3.163 9.842
Na 7.913 1.054 3.543
Na 8.353 3.163 10.236
Sr 2.233 3.163 13.382
Sr 3.190 1.054 6.689
Sr 7.655 3.163 6.696
Sr 8.612 1.054 0.003
Nd 0.199 1.054 9.795
Nd 5.223 3.163 3.102
Nd 5.622 1.054 10.283
Nd 10.645 3.163 3.590
S 0.400 1.054 1.619
S 1.005 3.163 8.130
S 2.588 3.163 4.609
S 2.834 1.054 11.301
S 4.417 1.054 1.437
S 5.022 3.163 8.311
S 5.822 1.054 5.074
S 6.427 3.163 11.948
S 8.010 3.163 2.084
S 8.256 1.054 8.776
S 9.839 1.054 5.255
S 10.444 3.163 11.766
CELL_PARAMETERS angstrom
10.844 0.000 0.000
0.000 4.217 0.000
0.000 0.000 13.385
```

=====

(4)
This record from OQMD describes a relaxed structure of BaCdCoGe2. The functional is PBE-GGA. Values from VASP.

Values from the calculation:
Space group: I-4m2
Total energy in eV per atom: -3.996
Spin magnetization in μB/cell: 2.9

```
&SYSTEM
  ibrav = 0, nat = 10, ntyp = 4
/
ATOMIC_SPECIES
Ba 137.33 Ba.upf
Cd 112.41 Cd.upf
Co 58.93 Co.upf
Ge 72.64 Ge.upf
ATOMIC_POSITIONS angstrom
Ba 0.000 0.000 0.000
Ba 2.215 2.215 5.712
Cd 0.000 2.215 8.568
Cd 2.215 0.000 2.856
Co 0.000 2.215 2.856
Co 2.215 0.000 8.568
Ge 0.000 0.000 4.288
Ge 0.000 0.000 7.136
Ge 2.215 2.215 1.424
Ge 2.215 2.215 10.000
CELL_PARAMETERS angstrom
4.430 0.000 0.000
0.000 4.430 0.000
0.000 0.000 11.424
```

=====

(5)
This record from OQMD describes a relaxed structure of SrHfTe. The functional is PBE-GGA. Values from VASP.

Values from the calculation:
Space group: F-43m
Relative energy among the computed polymorphs in meV/atom: 0.0
Spin magnetization in μB/cell: 8.0

```
&SYSTEM
  ibrav = 0, nat = 12, ntyp = 3
/
ATOMIC_SPECIES
Sr 87.62 Sr.upf
Hf 178.49 Hf.upf
Te 127.60 Te.upf
ATOMIC_POSITIONS angstrom
Sr 0.000 0.000 0.000
Sr 0.000 3.629 3.629
Sr 3.629 0.000 3.629
Sr 3.629 3.629 0.000
Hf 0.000 0.000 3.629
Hf 0.000 3.629 0.000
Hf 3.629 0.000 0.000
Hf 3.629 3.629 3.629
Te 1.814 1.814 1.814
Te 1.814 5.443 5.443
Te 5.443 1.814 5.443
Te 5.443 5.443 1.814
CELL_PARAMETERS angstrom
7.257 0.000 0.000
0.000 7.257 0.000
0.000 0.000 7.257
```

=====

(6)
This record from OQMD describes a relaxed structure of Dy3SiPd4. The functional is PBE-GGA. Values from VASP.

Values from the calculation:
Space group: Pm
Total energy in eV per atom: -5.764
Spin magnetization in μB/cell: 0.0

```
&SYSTEM
  ibrav = 0, nat = 8, ntyp = 3
/
ATOMIC_SPECIES
Dy 162.50 Dy.upf
Si 28.09 Si.upf
Pd 106.42 Pd.upf
ATOMIC_POSITIONS angstrom
Dy 0.000 0.000 0.000
Dy 1.378 0.000 3.361
Dy 2.945 2.112 0.921
Si 4.318 2.112 4.446
Pd 0.086 2.112 1.994
Pd 1.116 2.112 5.208
Pd 3.089 0.000 5.588
Pd 4.152 0.000 2.951
CELL_PARAMETERS angstrom
5.692 0.000 0.000
0.000 4.223 0.000
-0.046 0.000 6.698
```

=====

(7)
This record from OQMD describes a relaxed structure of DyTm2Al2Cd4. The functional is PBE-GGA. Values from VASP.

Values from the calculation:
Space group: Amm2
Total energy in eV per atom: -3.101
Spin magnetization in μB/cell: 0.0

```
&SYSTEM
  ibrav = 0, nat = 9, ntyp = 4
/
ATOMIC_SPECIES
Dy 162.50 Dy.upf
Tm 168.93 Tm.upf
Al 26.98 Al.upf
Cd 112.41 Cd.upf
ATOMIC_POSITIONS angstrom
Dy 0.000 0.000 0.000
Tm 0.000 -2.718 2.555
Tm 0.000 2.718 2.555
Al 2.269 -4.184 4.115
Al 2.269 4.184 4.115
Cd 0.000 0.000 4.093
Cd 2.269 0.000 2.293
Cd 2.269 -1.580 5.019
Cd 2.269 1.580 5.019
CELL_PARAMETERS angstrom
4.538 0.000 0.000
0.000 6.291 3.616
0.000 -6.291 3.616
```

=====

(8)
This record from OQMD describes a relaxed structure of HoLu2Sc3Sb2Os. The functional is PBE-GGA. Values from VASP.

Values from the calculation:
Space group: Amm2
Total energy in eV per atom: -6.514
Spin magnetization in μB/cell: 0.0

```
&SYSTEM
  ibrav = 0, nat = 9, ntyp = 5
/
ATOMIC_SPECIES
Ho 164.93 Ho.upf
Lu 174.97 Lu.upf
Sc 44.96 Sc.upf
Sb 121.76 Sb.upf
Os 190.23 Os.upf
ATOMIC_POSITIONS angstrom
Ho 0.000 0.000 0.000
Lu 0.000 -2.619 4.551
Lu 0.000 2.619 4.551
Sc 2.073 -1.545 2.158
Sc 2.073 1.545 2.158
Sc 2.073 0.000 4.848
Sb 2.073 -4.471 3.038
Sb 2.073 4.471 3.038
Os 0.000 0.000 3.083
CELL_PARAMETERS angstrom
4.146 0.000 0.000
0.000 6.731 3.883
0.000 -6.731 3.883
```

=====

(9)
This record from OQMD describes a relaxed structure of KSrPa. The functional is PBE-GGA. Values from VASP.

Values from the calculation:
Space group: F-43m
Relative energy among the computed polymorphs in meV/atom: 0.0
Spin magnetization in μB/cell: 19.2

```
&SYSTEM
  ibrav = 0, nat = 12, ntyp = 3
/
ATOMIC_SPECIES
K 39.10 K.upf
Sr 87.62 Sr.upf
Pa 231.04 Pa.upf
ATOMIC_POSITIONS angstrom
K 0.000 0.000 0.000
K 0.000 4.302 4.302
K 4.302 0.000 4.302
K 4.302 4.302 0.000
Sr 2.151 2.151 2.151
Sr 2.151 6.454 6.454
Sr 6.454 2.151 6.454
Sr 6.454 6.454 2.151
Pa 2.151 2.151 6.454
Pa 2.151 6.454 2.151
Pa 6.454 2.151 2.151
Pa 6.454 6.454 6.454
CELL_PARAMETERS angstrom
8.605 0.000 0.000
0.000 8.605 0.000
0.000 0.000 8.605
```